# Ba6Na3Pd (PBE, relaxed)
data_Ba6Na3Pd
_space_group_name_H-M_alt 'P 1 21/c 1'
_space_group_IT_number 14
_cell_length_a 8.0569
_cell_length_b 10.4245
_cell_length_c 14.4789
_cell_angle_alpha 90.00
_cell_angle_beta 118.98
_cell_angle_gamma 90.00
loop_
_space_group_symop_operation_xyz
'x,y,z'
'-x,-y,-z'
'-x,y+1/2,-z+1/2'
'x,-y+1/2,z+1/2'
loop_
_atom_site_label
_atom_site_type_symbol
_atom_site_fract_x
_atom_site_fract_y
_atom_site_fract_z
_atom_site_occupancy
Ba1 Ba 0.0840 0.0478 0.2331 1
Ba2 Ba 0.1825 0.7196 0.0614 1
Ba3 Ba 0.3867 0.1488 0.0478 1
Na1 Na 0.3367 0.1067 0.7306 1
Na2 Na 0.5000 0.0000 0.5000 1
Pd1 Pd 0.0000 0.0000 0.0000 1
# **Theoretical density**: 3.120 g cm⁻³



# Ba7Na2Pd (PBE, relaxed)
data_Ba7Na2Pd
_space_group_name_H-M_alt 'C 1 2/c 1'
_space_group_IT_number 15
_cell_length_a 18.7290
_cell_length_b 10.5017
_cell_length_c 14.1090
_cell_angle_alpha 90.00
_cell_angle_beta 130.86
_cell_angle_gamma 90.00
loop_
_space_group_symop_operation_xyz
'x,y,z'
'-x,-y,-z'
'-x,y,-z+1/2'
'x,-y,z+1/2'
'x+1/2,y+1/2,z'
'-x+1/2,-y+1/2,-z'
'-x+1/2,y+1/2,-z+1/2'
'x+1/2,-y+1/2,z+1/2'
loop_
_atom_site_label
_atom_site_type_symbol
_atom_site_fract_x
_atom_site_fract_y
_atom_site_fract_z
_atom_site_occupancy
Ba1 Ba 0.0000 0.0786 0.2500 1
Ba2 Ba 0.0900 0.3290 0.1216 1
Ba3 Ba 0.1338 0.3105 0.7974 1
Ba4 Ba 0.1899 0.3914 0.5259 1
Na1 Na 0.1404 0.0329 0.6041 1
Pd1 Pd 0.0000 0.4165 0.2500 1
# **Theoretical density**: 3.524 g cm⁻³



Which electronic total energy belongs to each record? In order, -2.1560; -2.2224 eV per atom.
Which spin magnetization belongs to each record? In order, 0.000; 0.000 μB/f.u..